No. 1
Compound: Na3PmO3
Source: Alexandria
Functional: GGA-PBE
Structure: relaxed

Cell lengths 7.023, 7.023, 7.023 Å; angles 120.10, 119.40, 90.44 degrees
Element x y z (fractional)
1 Na 0.000 0.212 0.212
2 Na 0.000 0.788 0.788
3 Na 0.474 0.224 0.250
4 Na 0.500 0.212 0.712
5 Na 0.500 0.788 0.288
6 Na 0.526 0.776 0.750
7 Pm 0.024 0.774 0.250
8 Pm 0.976 0.226 0.750
9 O 0.224 0.000 0.724
10 O 0.224 0.500 0.224
11 O 0.241 0.991 0.250
12 O 0.759 0.009 0.750
13 O 0.776 0.000 0.276
14 O 0.776 0.500 0.776



No. 2
Compound: NaPm3O4
Source: Alexandria
Functional: GGA-PBE
Structure: relaxed

Cell lengths 4.932, 4.932, 4.932 Å; angles 90.00, 90.00, 90.00 degrees
Element x y z (fractional)
1 Na 0.000 0.000 0.000
2 Pm 0.000 0.500 0.500
3 Pm 0.500 0.000 0.500
4 Pm 0.500 0.500 0.000
5 O 0.000 0.000 0.500
6 O 0.000 0.500 0.000
7 O 0.500 0.000 0.000
8 O 0.500 0.500 0.500



no.,uncorrected formation energy (eV per atom)
1,-1.9552
2,-2.7134